First-principles (GGA-PBE) data for an optimized crystal structure of CaIn2Ag4, as listed in Alexandria.

Properties
Its formation energy is -89 kJ/mol of formula units.

Cell and atoms, written as POSCAR:
```
CaIn2Ag4
1.0
4.595 0.000 1.436
2.073 4.101 1.436
-0.012 -0.007 8.110
Ag In Ca
4 2 1
Direct
0.568 0.568 0.295
0.432 0.432 0.705
0.863 0.863 0.412
0.137 0.137 0.588
0.738 0.738 0.786
0.262 0.262 0.214
0.000 0.000 0.000
```

---

First-principles (GGA-PBE) data for an optimized crystal structure of CaLa3Au2, as listed in Alexandria.

Properties
Its formation energy is -328 kJ/mol of formula units.

Cell and atoms, written as POSCAR:
```
CaLa3Au2
1.0
5.146 0.000 0.000
0.000 7.566 0.000
0.000 0.000 9.398
La Ca Au
6 2 4
Direct
0.000 0.992 0.083
0.000 0.492 0.917
0.000 0.847 0.670
0.500 0.153 0.836
0.000 0.347 0.330
0.500 0.653 0.164
0.500 0.511 0.573
0.500 0.011 0.427
0.000 0.751 0.352
0.500 0.245 0.155
0.500 0.745 0.845
0.000 0.251 0.648
```

---

First-principles (GGA-PBE) data for an optimized crystal structure of TcAu2, as listed in Alexandria.

Properties
Its formation energy is 305 kJ/mol of formula units.

Cell and atoms, written as POSCAR:
```
TcAu2
1.0
-0.255 6.006 2.015
-2.167 -1.978 5.621
5.953 -0.462 2.132
Tc Au
4 8
Direct
0.000 0.000 0.000
0.500 0.000 0.500
0.500 0.500 0.000
0.000 0.500 0.500
0.628 0.628 0.628
0.872 0.128 0.628
0.128 0.872 0.372
0.872 0.372 0.128
0.372 0.372 0.372
0.372 0.128 0.872
0.128 0.628 0.872
0.628 0.872 0.128
```

---

| no. | DFT total energy (eV per cell) |
| --- | --- |
| 1 | -19.8 |
| 2 | -53.5 |
| 3 | -55.0 |